## PuScBe (PBE-GGA)

Data for PuScBe after structural relaxation.

Computed properties:
- Final energy: -7.639 eV/atom
- Space-group type: No. 216
- Excess energy over the best structure of this formula in the dataset: 0 meV/atom
- V: 20.1 Å³/atom

Cell lengths 4.399, 4.399, 4.399 Å; angles 60.00, 60.00, 60.00 degrees
Fractional positions:
Sc  0.750  0.750  0.750
Pu  0.250  0.250  0.250
Be  0.000  0.000  0.000